Li3PdAu3 (PBE, optimized geometry); E = -3.3481 eV/atom; formation enthalpy at 0 K = -0.381 eV per atom; magnetic moment = 0.0 μB/f.u.; space-group type = P2/m; crystal system = monoclinic
1.0
-0.686 0.160 6.299
2.512 -5.117 0.005
5.818 2.857 0.561
Pd Li Au
2 6 6
Cartesian
7.128 -0.669 4.929
0.516 -1.431 1.937
2.974 0.334 5.183
5.938 1.718 5.111
4.236 -2.197 4.979
4.670 -2.433 1.683
3.408 0.097 1.887
1.705 -3.817 1.754
5.680 -0.386 0.429
4.472 2.196 0.432
1.281 0.878 3.306
1.963 -1.714 6.436
3.172 -4.296 6.434
6.362 -2.977 3.559